Record 1
# LiCd2Ag5

Crystalline LiCd2Ag5 at its relaxed geometry (PBE, the Alexandria database).

E_form = -112 meV per atom
symmetry = I4/mmm, No. 139
polymorph energy (0 for the lowest one) = 0.0 meV per atom
electronic total energy = -0.0868 hartree per atom

a b c (Å): 5.898 5.898 5.901
angles (deg): 119.53 119.53 90.81
Sites, in units of the cell vectors:
Li (0.778, 0.778, 0.000)
Cd (0.278, 0.778, 0.500)
Cd (0.778, 0.278, 0.500)
Ag (0.278, 0.278, 0.500)
Ag (0.278, 0.778, 0.000)
Ag (0.778, 0.278, 0.000)
Ag (0.778, 0.778, 0.500)
Ag (0.278, 0.278, 0.000)


Record 2
# Ce4SiGeTe2

Crystalline Ce4SiGeTe2 at its relaxed geometry (PBE, the Alexandria database).

symmetry = P2/m, No. 10
formation energy without anion corrections = -1035.7 meV/atom
electronic total energy = -0.2221 hartree per atom

a b c (Å): 4.338 7.624 7.517
angles (deg): 70.83 90.00 90.00
Last column: magnetic moment on the atom in μB.
Sites, in units of the cell vectors:
Ce (0.000, 0.725, 0.756)  0.68
Ce (0.000, 0.275, 0.244)  0.68
Ce (0.500, 0.724, 0.260)  0.68
Ce (0.500, 0.276, 0.740)  0.68
Si (0.000, 0.500, 0.500)  -0.03
Ge (0.500, 0.500, 0.000)  -0.04
Te (0.000, 0.000, 0.000)  -0.02
Te (0.500, 0.000, 0.500)  -0.02


Record 3
# Ac5IrPb2

Crystalline Ac5IrPb2 at its relaxed geometry (PBE, the Alexandria database).

E_form = -555 meV per atom
symmetry = Pbam, No. 55
polymorph energy (0 for the lowest one) = 0.0 meV per atom
electronic total energy = -0.1895 hartree per atom

a b c (Å): 4.884 9.119 13.393
angles (deg): 90.00 90.00 90.00
Sites, in units of the cell vectors:
Ac (0.000, 0.000, 0.500)
Ac (0.000, 0.500, 0.000)
Ac (0.000, 0.865, 0.199)
Ac (0.000, 0.135, 0.801)
Ac (0.000, 0.635, 0.699)
Ac (0.000, 0.365, 0.301)
Ac (0.500, 0.681, 0.433)
Ac (0.500, 0.319, 0.567)
Ac (0.500, 0.819, 0.933)
Ac (0.500, 0.181, 0.067)
Ir (0.000, 0.500, 0.500)
Ir (0.000, 0.000, 0.000)
Pb (0.500, 0.581, 0.173)
Pb (0.500, 0.419, 0.827)
Pb (0.500, 0.919, 0.673)
Pb (0.500, 0.081, 0.327)


Record 4
# Pr3Nd2Dy6Sc

Crystalline Pr3Nd2Dy6Sc at its relaxed geometry (PBE, the Alexandria database).

E_form = 27 meV per atom
symmetry = C2/m, No. 12
electronic total energy = -0.1761 hartree per atom

a b c (Å): 6.214 6.214 11.863
angles (deg): 95.00 95.00 120.00
Sites, in units of the cell vectors:
Pr (0.167, 0.833, 0.500)
Pr (0.833, 0.167, 0.500)
Pr (0.500, 0.500, 0.500)
Nd (0.334, 0.666, 0.000)
Nd (0.666, 0.334, 0.000)
Dy (0.919, 0.589, 0.754)
Dy (0.751, 0.751, 0.246)
Dy (0.081, 0.411, 0.246)
Dy (0.589, 0.919, 0.754)
Dy (0.249, 0.249, 0.754)
Dy (0.411, 0.081, 0.246)
Sc (0.000, 0.000, 0.000)


Record 5
# BaMnPb

Crystalline BaMnPb at its relaxed geometry (PBE, the Alexandria database).

E_form = 191 meV per atom
symmetry = F-43m, No. 216
electronic total energy = -0.1743 hartree per atom

a b c (Å): 5.235 5.235 5.235
angles (deg): 60.00 60.00 60.00
Last column: magnetic moment on the atom in μB.
Sites, in units of the cell vectors:
Ba (0.500, 0.500, 0.500)  0.10
Mn (0.750, 0.750, 0.750)  4.14
Pb (0.000, 0.000, 0.000)  0.00


Record 6
# RbBeSn2Os

Crystalline RbBeSn2Os at its relaxed geometry (PBE, the Alexandria database).

E_form = 932 meV per atom
symmetry = P4/mmm, No. 123
electronic total energy = -0.1416 hartree per atom

a b c (Å): 5.109 6.647 5.109
angles (deg): 90.00 90.00 90.00
Sites, in units of the cell vectors:
Be (0.500, 0.500, 0.500)
Os (0.000, 0.000, 0.000)
Sn (0.000, 0.000, 0.500)
Sn (0.500, 0.000, 0.000)
Rb (0.000, 0.500, 0.000)


Record 7
# PmSm2Dy5Er

Crystalline PmSm2Dy5Er at its relaxed geometry (PBE, the Alexandria database).

E_form = 278 meV per atom
symmetry = I4/mcm, No. 140
electronic total energy = -0.1603 hartree per atom

a b c (Å): 8.731 8.731 9.860
angles (deg): 116.28 116.28 90.00
Sites, in units of the cell vectors:
Pm (0.250, 0.250, 0.500)
Pm (0.750, 0.750, 0.500)
Sm (0.116, 0.384, 0.000)
Sm (0.616, 0.116, 0.000)
Sm (0.384, 0.884, 0.000)
Sm (0.884, 0.616, 0.000)
Dy (0.928, 0.428, 0.274)
Dy (0.653, 0.153, 0.726)
Dy (0.072, 0.572, 0.726)
Dy (0.153, 0.072, 0.726)
Dy (0.572, 0.653, 0.726)
Dy (0.847, 0.928, 0.274)
Dy (0.428, 0.347, 0.274)
Dy (0.347, 0.847, 0.274)
Dy (0.500, 0.500, 0.000)
Dy (0.000, 0.000, 0.000)
Er (0.250, 0.750, 0.500)
Er (0.750, 0.250, 0.500)


Record 8
# Tb2TeRh

Crystalline Tb2TeRh at its relaxed geometry (PBE, the Alexandria database).

symmetry = Cmcm, No. 63
formation energy without anion corrections = -1055.1 meV/atom
polymorph energy (0 for the lowest one) = 0.0 meV per atom
electronic total energy = -0.2203 hartree per atom

a b c (Å): 4.396 4.029 11.825
angles (deg): 99.81 90.00 90.00
Sites, in units of the cell vectors:
Tb (0.750, 0.659, 0.318)
Tb (0.250, 0.341, 0.682)
Tb (0.750, 0.943, 0.886)
Tb (0.250, 0.057, 0.114)
Te (0.250, 0.195, 0.389)
Te (0.750, 0.805, 0.611)
Rh (0.250, 0.459, 0.917)
Rh (0.750, 0.541, 0.083)


Record 9
# NbO2F

Crystalline NbO2F at its relaxed geometry (PBE, the Alexandria database).

symmetry = Amm2, No. 38
formation energy without anion corrections = -2661.2 meV/atom
electronic total energy = -0.2986 hartree per atom

a b c (Å): 3.996 5.636 5.636
angles (deg): 92.80 90.00 90.00
Sites, in units of the cell vectors:
Nb (0.000, 0.475, 0.525)
Nb (0.000, 0.001, 0.999)
O (0.500, 0.997, 0.003)
O (0.000, 0.252, 0.748)
O (0.000, 0.751, 0.739)
O (0.000, 0.261, 0.249)
F (0.500, 0.513, 0.487)
F (0.000, 0.749, 0.251)


Record 10
# TbPm4Cu5

Crystalline TbPm4Cu5 at its relaxed geometry (PBE, the Alexandria database).

E_form = -179 meV per atom
symmetry = P4/mmm, No. 123
electronic total energy = -0.1687 hartree per atom

a b c (Å): 3.533 3.533 17.918
angles (deg): 90.00 90.00 90.00
Sites, in units of the cell vectors:
Tb (0.000, 0.000, 0.000)
Pm (0.000, 0.000, 0.197)
Pm (0.000, 0.000, 0.399)
Pm (0.000, 0.000, 0.601)
Pm (0.000, 0.000, 0.803)
Cu (0.500, 0.500, 0.094)
Cu (0.500, 0.500, 0.299)
Cu (0.500, 0.500, 0.500)
Cu (0.500, 0.500, 0.701)
Cu (0.500, 0.500, 0.906)


Record 11
# TbThCdSn

Crystalline TbThCdSn at its relaxed geometry (PBE, the Alexandria database).

E_form = -354 meV per atom
symmetry = F-43m, No. 216
electronic total energy = -0.1689 hartree per atom

a b c (Å): 5.398 5.398 5.398
angles (deg): 60.00 60.00 60.00
Sites, in units of the cell vectors:
Tb (0.250, 0.250, 0.250)
Sn (0.000, 0.000, 0.000)
Th (0.750, 0.750, 0.750)
Cd (0.500, 0.500, 0.500)


Record 12
# CsUCr2Te4

Crystalline CsUCr2Te4 at its relaxed geometry (PBE, the Alexandria database).

symmetry = I222, No. 23
formation energy without anion corrections = -30.9 meV/atom
electronic total energy = -0.2031 hartree per atom

a b c (Å): 6.667 7.782 7.782
angles (deg): 77.91 64.63 64.63
Last column: magnetic moment on the atom in μB.
Sites, in units of the cell vectors:
Cs (0.000, 0.000, 0.000)  0.00
U (0.500, 0.500, 0.500)  2.07
Cr (0.090, 0.410, 0.410)  0.42
Cr (0.910, 0.590, 0.590)  0.42
Te (0.425, 0.150, 0.519)  -0.04
Te (0.094, 0.850, 0.481)  -0.04
Te (0.906, 0.519, 0.150)  -0.04
Te (0.575, 0.481, 0.850)  -0.04


Question: Which value of electronic total energy does entry 12 give?
Answer: -0.2031 hartree per atom


Question: What is the electronic total energy in the third record?
Answer: -0.1895 hartree per atom


Copy entry 12 word for word.
# CsUCr2Te4

Crystalline CsUCr2Te4 at its relaxed geometry (PBE, the Alexandria database).

symmetry = I222, No. 23
formation energy without anion corrections = -30.9 meV/atom
electronic total energy = -0.2031 hartree per atom

a b c (Å): 6.667 7.782 7.782
angles (deg): 77.91 64.63 64.63
Last column: magnetic moment on the atom in μB.
Sites, in units of the cell vectors:
Cs (0.000, 0.000, 0.000)  0.00
U (0.500, 0.500, 0.500)  2.07
Cr (0.090, 0.410, 0.410)  0.42
Cr (0.910, 0.590, 0.590)  0.42
Te (0.425, 0.150, 0.519)  -0.04
Te (0.094, 0.850, 0.481)  -0.04
Te (0.906, 0.519, 0.150)  -0.04
Te (0.575, 0.481, 0.850)  -0.04